[1]
Ac6NdSn2 | GGA-PBE | relaxed

It has space group C2/c (No. 15), with a = 21.041 Å, b = 12.180 Å, c = 5.677 Å, α = 90.00°, β = 90.00° and γ = 90.00°. The distinct sites, in fractional coordinates, are Ac at (0.085, 0.084, 0.248), Ac at (0.099, 0.393, 0.251), Ac at (0.245, 0.390, 0.752), Nd at (0.000, 0.258, 0.750) and Sn at (0.154, 0.170, 0.748).

As for the energy of formation from the pure elements: -0.186 eV/atom. The final energy comes out at -4.344 eV/atom. Its magnetization is 0.00 μB/f.u.

---

[2]
AcNd2Sn | GGA-PBE | relaxed

It has space group R-3m (No. 166, hexagonal axes), with a = 3.7253 Å, b = 3.7253 Å, c = 36.2939 Å, α = 90.00°, β = 90.00° and γ = 120.00°. The distinct sites, in fractional coordinates, are Ac at (0.0000, 0.0000, 0.0000), Nd at (0.0000, 0.0000, 0.0993) and Sn at (0.0000, 0.0000, 0.5000).

The offset from the most stable computed form is 364 meV per atom. As for the energy of formation from the pure elements: -0.030 eV/atom. The final energy comes out at -4.442 eV/atom. Its magnetization is 0.00 μB/f.u.

---

[3]
AcNd2Sn2 | GGA-PBE | relaxed

It has space group P6_3/mmc (No. 194), with a = 5.2940 Å, b = 5.2940 Å, c = 13.7492 Å, α = 90.00°, β = 90.00° and γ = 120.00°. The distinct sites, in fractional coordinates, are Ac at (0.3333, 0.6667, 0.2500), Nd at (0.3333, 0.6667, 0.5552) and Sn at (0.0000, 0.0000, 0.1220).

As for the energy of formation from the pure elements: -0.503 eV/atom. The final energy comes out at -4.833 eV/atom. Its magnetization is 0.00 μB/f.u.

---

[4]
AcNd3Sn3 | GGA-PBE | relaxed

It has space group P6_3/m (No. 176), with a = 9.7268 Å, b = 9.7268 Å, c = 5.4974 Å, α = 90.00°, β = 90.00° and γ = 120.00°. The distinct sites, in fractional coordinates, are Ac at (0.3333, 0.6667, 0.2500), Nd at (0.0062, 0.7600, 0.7500) and Sn at (0.0700, 0.4474, 0.7500).

As for the energy of formation from the pure elements: -0.548 eV/atom. The final energy comes out at -4.894 eV/atom. Its magnetization is 0.00 μB/f.u.

---

[5]
AcNd2Sn | GGA-PBE | relaxed

It has space group Fm-3m (No. 225), with a = 8.035 Å, b = 8.035 Å, c = 8.035 Å, α = 90.00°, β = 90.00° and γ = 90.00°. The distinct sites, in fractional coordinates, are Ac at (0.000, 0.000, 0.000), Nd at (0.250, 0.250, 0.250) and Sn at (0.000, 0.000, 0.500).

The offset from the most stable computed form is 172 meV per atom. As for the energy of formation from the pure elements: -0.223 eV/atom. The final energy comes out at -4.635 eV/atom. Its magnetization is 0.00 μB/f.u.

---

[6]
Ac3Nd4Sn4 | GGA-PBE | relaxed

It has space group Immm (No. 71), with a = 4.533 Å, b = 9.699 Å, c = 17.800 Å, α = 90.00°, β = 90.00° and γ = 90.00°. The distinct sites, in fractional coordinates, are Ac at (0.000, 0.000, 0.000), Ac at (0.000, 0.500, 0.106), Nd at (0.000, 0.307, 0.328), Sn at (0.000, 0.000, 0.246) and Sn at (0.000, 0.217, 0.500).

As for the energy of formation from the pure elements: -0.559 eV/atom. The final energy comes out at -4.869 eV/atom. Its magnetization is 3.69 μB/f.u.

---

[7]
SrAcNdSn | GGA-PBE | relaxed

It has space group F-43m (No. 216), with a = 8.261 Å, b = 8.261 Å, c = 8.261 Å, α = 90.00°, β = 90.00° and γ = 90.00°. The distinct sites, in fractional coordinates, are Sr at (0.000, 0.000, 0.000), Ac at (0.250, 0.250, 0.250), Nd at (0.000, 0.000, 0.500) and Sn at (0.250, 0.250, 0.750).

As for the energy of formation from the pure elements: -0.090 eV/atom. The final energy comes out at -3.730 eV/atom. Its magnetization is 0.92 μB/f.u.

---

[8]
AcTbNdSn | GGA-PBE | relaxed

It has space group F-43m (No. 216), with a = 7.953 Å, b = 7.953 Å, c = 7.953 Å, α = 90.00°, β = 90.00° and γ = 90.00°. The distinct sites, in fractional coordinates, are Ac at (0.000, 0.000, 0.000), Tb at (0.250, 0.250, 0.750), Nd at (0.250, 0.250, 0.250) and Sn at (0.000, 0.000, 0.500).

As for the energy of formation from the pure elements: -0.197 eV/atom. The final energy comes out at -4.574 eV/atom. Its magnetization is 0.00 μB/f.u.